[1]
Compound: NaReAg2
Source: Alexandria
Functional: PBE
Structure: relaxed

```
NaReAg2
1.0
0.000 3.324 3.324
3.324 0.000 3.324
3.324 3.324 0.000
Ag Na Re
2 1 1
Cartesian
4.985 4.985 4.985
1.662 1.662 1.662
0.000 0.000 0.000
3.324 3.324 3.324
```

[2]
Compound: Na3ReAg
Source: Alexandria
Functional: PBE
Structure: relaxed

```
Na3ReAg
1.0
5.450 0.000 0.000
0.000 5.450 0.000
0.000 0.000 5.450
Na Ag Re
3 1 1
Cartesian
0.000 2.725 0.000
2.725 0.000 0.000
0.000 0.000 2.725
0.000 0.000 0.000
2.725 2.725 2.725
```

[3]
Compound: NaRe2Ag
Source: Alexandria
Functional: PBE
Structure: relaxed

```
NaRe2Ag
1.0
0.000 3.188 3.188
3.188 0.000 3.188
3.188 3.188 0.000
Re Ag Na
2 1 1
Cartesian
1.594 1.594 1.594
4.782 4.782 4.782
3.188 3.188 3.188
0.000 0.000 0.000
```

[4]
Compound: NaReAg2
Source: Alexandria
Functional: PBE
Structure: relaxed

```
NaReAg2
1.0
4.117 0.000 0.000
0.000 4.117 0.000
2.058 2.058 9.631
Na Ag Re
2 4 2
Cartesian
2.058 4.117 4.815
2.058 2.058 0.000
3.088 3.061 7.223
3.115 1.029 2.408
1.002 3.088 2.408
5.146 5.173 7.223
0.000 0.000 0.000
4.117 2.058 4.815
```

| no. | formation energy (meV per atom) | energy relative to the lowest polymorph listed for this composition (eV per formula unit) |
| --- | --- | --- |
| 1 | 950 | 0.00 |
| 2 | 1382 | 0.00 |
| 3 | 1697 | 2.64 |
| 4 | 1347 | 1.59 |